The following is a PBE calculation of HoMgIn4Pd2 after structural relaxation, from the Open Quantum Materials Database.

Output
Total magnetic moment   0.012 μB/f.u.
Electronic total energy   -31.45 eV per formula unit

Structure (CIF):
```
data_HoMgIn4Pd2
_chemical_formula_sum 'Ho2 Mg2 In8 Pd4'
_cell_length_a 7.8130
_cell_length_b 4.3899
_cell_length_c 10.2441
_cell_angle_alpha 90.00
_cell_angle_beta 90.00
_cell_angle_gamma 90.00
_space_group_name_H-M_alt 'A m m 2'
_space_group_IT_number 38
loop_
_space_group_symop_operation_xyz
'x,y,z'
'-x,-y,z'
'-x,y,z'
'x,-y,z'
'x,y+1/2,z+1/2'
'-x,-y+1/2,z+1/2'
'-x,y+1/2,z+1/2'
'x,-y+1/2,z+1/2'
loop_
_atom_site_label
_atom_site_fract_x
_atom_site_fract_y
_atom_site_fract_z
_atom_site_occupancy
Ho1 0.0000 0.0000 0.0000 1
Mg1 0.5000 0.0000 0.8643 1
In1 0.2045 0.0000 0.2916 1
In2 0.3033 0.0000 0.5717 1
Pd1 0.0000 0.0000 0.7122 1
Pd2 0.5000 0.0000 0.1419 1
```

=====

The following is a PBE calculation of BaLi2AsAu after structural relaxation, from the Open Quantum Materials Database.

Output
Electronic total energy   -17.40 eV per formula unit

Structure (CIF):
```
data_BaLi2AsAu
_chemical_formula_sum 'Ba2 Li4 As2 Au2'
_cell_length_a 4.4650
_cell_length_b 4.4650
_cell_length_c 11.3631
_cell_angle_alpha 90.00
_cell_angle_beta 90.00
_cell_angle_gamma 90.00
_space_group_name_H-M_alt 'I 4 m m'
_space_group_IT_number 107
_space_group_name_Hall 'I 4 -2'
loop_
_atom_site_label
_atom_site_fract_x
_atom_site_fract_y
_atom_site_fract_z
_atom_site_occupancy
Ba1 0.0000 0.0000 0.0000 1
Li1 0.0000 0.5000 0.2301 1
As1 0.0000 0.0000 0.6174 1
Au1 0.0000 0.0000 0.3682 1
```

=====

The following is a PBE calculation of SrLiAs2Ir after structural relaxation, from the Open Quantum Materials Database.

Output
Total magnetic moment   0.000 μB/f.u.
Electronic total energy   -25.33 eV per formula unit

Structure (CIF):
```
data_SrLiAs2Ir
_chemical_formula_sum 'Sr2 Li2 As4 Ir2'
_cell_length_a 4.2522
_cell_length_b 4.2522
_cell_length_c 10.8161
_cell_angle_alpha 90.00
_cell_angle_beta 90.00
_cell_angle_gamma 90.00
_space_group_name_H-M_alt 'I -4 m 2'
_space_group_IT_number 119
_space_group_name_Hall 'I -4 -2'
loop_
_atom_site_label
_atom_site_fract_x
_atom_site_fract_y
_atom_site_fract_z
_atom_site_occupancy
Sr1 0.0000 0.0000 0.0000 1
Li1 0.0000 0.5000 0.2500 1
As1 0.0000 0.0000 0.3701 1
Ir1 0.0000 0.5000 0.7500 1
```

=====

The following is a PBE calculation of RbTaCuTeSe2 after structural relaxation, from the Open Quantum Materials Database.

Output
Total magnetic moment   0.414 μB/f.u.
Electronic total energy   -30.30 eV per formula unit

Structure (CIF):
```
data_RbTaCuTeSe2
_chemical_formula_sum 'Rb4 Ta4 Cu4 Te4 Se8'
_cell_length_a 3.8034
_cell_length_b 16.4528
_cell_length_c 10.3330
_cell_angle_alpha 90.00
_cell_angle_beta 90.00
_cell_angle_gamma 90.00
_space_group_name_H-M_alt 'C m c m'
_space_group_IT_number 63
_space_group_name_Hall '-C 2c 2'
loop_
_atom_site_label
_atom_site_fract_x
_atom_site_fract_y
_atom_site_fract_z
_atom_site_occupancy
Rb1 0.0000 0.2299 0.2500 1
Ta1 0.0000 0.0000 0.0000 1
Cu1 0.0000 0.4719 0.7500 1
Te1 0.0000 0.0789 0.7500 1
Se1 0.0000 0.3933 0.5550 1
```

=====

The following is a PBE calculation of DyTmFe2Pb after structural relaxation, from the Open Quantum Materials Database.

Output
Total magnetic moment   2.995 μB/f.u.
Electronic total energy   -30.43 eV per formula unit

Structure (CIF):
```
data_DyTmFe2Pb
_chemical_formula_sum 'Dy2 Tm2 Fe4 Pb2'
_cell_length_a 3.7942
_cell_length_b 3.8833
_cell_length_c 14.2059
_cell_angle_alpha 90.00
_cell_angle_beta 90.00
_cell_angle_gamma 90.00
_space_group_name_H-M_alt 'A m m 2'
_space_group_IT_number 38
loop_
_space_group_symop_operation_xyz
'x,y,z'
'-x,-y,z'
'-x,y,z'
'x,-y,z'
'x,y+1/2,z+1/2'
'-x,-y+1/2,z+1/2'
'-x,y+1/2,z+1/2'
'x,-y+1/2,z+1/2'
loop_
_atom_site_label
_atom_site_fract_x
_atom_site_fract_y
_atom_site_fract_z
_atom_site_occupancy
Dy1 0.0000 0.0000 0.0000 1
Tm1 0.0000 0.0000 0.2770 1
Fe1 0.5000 0.0000 0.4311 1
Fe2 0.5000 0.0000 0.8430 1
Pb1 0.5000 0.0000 0.6391 1
```

=====

The following is a PBE calculation of TePPtO after structural relaxation, from the Open Quantum Materials Database.

Output
Total magnetic moment   0.002 μB/f.u.
Electronic total energy   -19.71 eV per formula unit
Relative energy among the computed polymorphs   39.3 meV/atom

Structure (CIF):
```
data_TePPtO
_chemical_formula_sum 'Te2 P2 Pt2 O2'
_cell_length_a 3.8555
_cell_length_b 6.4802
_cell_length_c 6.0798
_cell_angle_alpha 90.00
_cell_angle_beta 90.00
_cell_angle_gamma 90.00
_space_group_name_H-M_alt 'P m c 21'
_space_group_IT_number 26
loop_
_space_group_symop_operation_xyz
'x,y,z'
'-x,-y,z+1/2'
'-x,y,z'
'x,-y,z+1/2'
loop_
_atom_site_label
_atom_site_fract_x
_atom_site_fract_y
_atom_site_fract_z
_atom_site_occupancy
Te1 0.0000 0.2447 0.0000 1
P1 0.0000 0.3513 0.4302 1
Pt1 0.5000 0.2065 0.5460 1
O1 0.5000 0.1421 0.0853 1
```

=====

The following is a PBE calculation of CuAsOsPt after structural relaxation, from the Open Quantum Materials Database.

Output
Total magnetic moment   0.001 μB/f.u.
Electronic total energy   -24.54 eV per formula unit
Relative energy among the computed polymorphs   0.0 meV/atom

Structure (CIF):
```
data_CuAsOsPt
_chemical_formula_sum 'Cu4 As4 Os4 Pt4'
_cell_length_a 6.1864
_cell_length_b 6.1864
_cell_length_c 6.1864
_cell_angle_alpha 90.00
_cell_angle_beta 90.00
_cell_angle_gamma 90.00
_space_group_name_H-M_alt 'F -4 3 m'
_space_group_IT_number 216
_space_group_name_Hall 'F -4 2 3'
loop_
_atom_site_label
_atom_site_fract_x
_atom_site_fract_y
_atom_site_fract_z
_atom_site_occupancy
Cu1 0.0000 0.0000 0.0000 1
As1 0.2500 0.2500 0.7500 1
Os1 0.0000 0.0000 0.5000 1
Pt1 0.2500 0.2500 0.2500 1
```

=====

The following is a PBE calculation of TbHoTl after structural relaxation, from the Open Quantum Materials Database.

Output
Total magnetic moment   0.071 μB/f.u.
Electronic total energy   -11.68 eV per formula unit

Structure (CIF):
```
data_TbHoTl
_chemical_formula_sum 'Tb4 Ho4 Tl4'
_cell_length_a 7.2945
_cell_length_b 7.2945
_cell_length_c 7.2945
_cell_angle_alpha 90.00
_cell_angle_beta 90.00
_cell_angle_gamma 90.00
_space_group_name_H-M_alt 'F -4 3 m'
_space_group_IT_number 216
_space_group_name_Hall 'F -4 2 3'
loop_
_atom_site_label
_atom_site_fract_x
_atom_site_fract_y
_atom_site_fract_z
_atom_site_occupancy
Tb1 0.0000 0.0000 0.0000 1
Ho1 0.0000 0.0000 0.5000 1
Tl1 0.2500 0.2500 0.7500 1
```